Entry P
# Nd2Sm3Hg2 | Alexandria | PBE-GGA | optimized geometry
data_Nd2Sm3Hg2
_cell_length_a 3.6914
_cell_length_b 3.6538
_cell_length_c 16.2509
_cell_angle_alpha 90.00
_cell_angle_beta 96.52
_cell_angle_gamma 90.00
_symmetry_space_group_name_H-M 'P 1'
_symmetry_Int_Tables_number 1
loop_
_symmetry_equiv_pos_as_xyz
'x,y,z'
loop_
_atom_site_label
_atom_site_type_symbol
_atom_site_fract_x
_atom_site_fract_y
_atom_site_fract_z
Sm1 Sm 0.0000 0.0000 0.0000
Hg1 Hg 0.1386 0.0000 0.2771
Nd1 Nd 0.7021 0.5000 0.4043
Sm2 Sm 0.4221 0.5000 0.8442
Sm3 Sm 0.5779 0.5000 0.1558
Hg2 Hg 0.8614 0.0000 0.7229
Nd2 Nd 0.2979 0.5000 0.5957
# - Space-group type: No. 65
# - M_tot: 0.12 μB/atom


Entry Q
# Nd2Sm3Hg2 | Alexandria | PBE-GGA | optimized geometry
data_Nd2Sm3Hg2
_cell_length_a 3.8367
_cell_length_b 6.9904
_cell_length_c 9.5301
_cell_angle_alpha 114.21
_cell_angle_beta 90.00
_cell_angle_gamma 105.93
_symmetry_space_group_name_H-M 'P 1'
_symmetry_Int_Tables_number 1
loop_
_symmetry_equiv_pos_as_xyz
'x,y,z'
loop_
_atom_site_label
_atom_site_type_symbol
_atom_site_fract_x
_atom_site_fract_y
_atom_site_fract_z
Nd1 Nd 0.8555 0.7111 0.1898
Sm1 Sm 0.5000 0.0000 0.0000
Sm2 Sm 0.3902 0.7803 0.5547
Nd2 Nd 0.1445 0.2889 0.8102
Hg1 Hg 0.8257 0.6515 0.7729
Hg2 Hg 0.1743 0.3485 0.2271
Sm3 Sm 0.6098 0.2197 0.4453
# - Space-group type: No. 12
# - M_tot: 0.00 μB/atom


Ranked by calculated energy, most stable first: entry Q, entry P.